# KInGe2Br8

A geometry-optimized KInGe2Br8 structure (PBE, Alexandria via LeMat-Bulk).

The structure belongs to space group P-1 (No. 2); the cell edges are 6.526, 7.818 and 9.081 Å and the angles 96.64°, 94.09° and 96.24°. The distinct sites, in fractional coordinates, are K at (0.000, 0.000, 0.000), In at (0.000, 0.000, 0.500), Ge at (0.461, 0.614, 0.244), Br at (0.180, 0.696, 0.417), Br at (0.212, 0.182, 0.329), Br at (0.279, 0.654, 0.005) and Br at (0.318, 0.084, 0.738).

Its formation energy from raw total energies is -0.8101 eV per atom.